1.
{"formula": "Tb2GdAg", "functional": "GGA-PBE", "state": "optimized geometry", "lattice_angstrom": [[5.4550, 0.0000, 0.0000], [0.0000, 5.4550, 0.0000], [0.0000, 0.0000, 3.7051]], "species": ["Tb", "Tb", "Gd", "Ag"], "fractional_positions": [[0.0000, 0.5000, 0.0000], [0.5000, 0.0000, 0.0000], [0.0000, 0.0000, 0.5000], [0.5000, 0.5000, 0.5000]], "total_magnetization_mub_per_fu": 7.3, "space_group": "P4/mmm", "vol_a3_per_atom": 27.56, "dos_at_fermi_per_ev_cell": 5.4}


2.
{"formula": "Tb2GdAg", "functional": "GGA-PBE", "state": "optimized geometry", "lattice_angstrom": [[1.7798, 1.0275, 10.5563], [-1.7798, 1.0275, 10.5563], [0.0000, -2.0551, 10.5563]], "species": ["Tb", "Tb", "Gd", "Ag"], "fractional_positions": [[0.2412, 0.2412, 0.2412], [0.7588, 0.7588, 0.7588], [0.0000, 0.0000, 0.0000], [0.5000, 0.5000, 0.5000]], "total_magnetization_mub_per_fu": 7.3, "space_group": "R-3m", "vol_a3_per_atom": 28.96, "dos_at_fermi_per_ev_cell": 5.0}


Tell me which of them is the least stable. Sure, it is 1.


1.
{"formula": "GdTh2Ag", "functional": "GGA-PBE", "state": "optimized geometry", "lattice_angstrom": [[1.7005, 0.9818, 12.2254], [-1.7005, 0.9818, 12.2254], [0.0000, -1.9636, 12.2254]], "species": ["Gd", "Th", "Th", "Ag"], "fractional_positions": [[0.0000, 0.0000, 0.0000], [0.4150, 0.4150, 0.4150], [0.5850, 0.5850, 0.5850], [0.5000, 0.5000, 0.5000]], "total_magnetization_mub_per_fu": 7.3, "space_group": "R-3m", "vol_a3_per_atom": 30.62, "dos_at_fermi_per_ev_cell": 5.6}


2.
{"formula": "GdTh2Ag", "functional": "GGA-PBE", "state": "optimized geometry", "lattice_angstrom": [[3.5744, 0.0000, 0.0000], [0.0000, 3.5744, 0.0000], [0.0000, 0.0000, 9.2334]], "species": ["Gd", "Th", "Th", "Ag"], "fractional_positions": [[0.0000, 0.0000, 0.0000], [0.5000, 0.5000, 0.2761], [0.5000, 0.5000, 0.7239], [0.0000, 0.0000, 0.5000]], "total_magnetization_mub_per_fu": 7.0, "space_group": "P4/mmm", "vol_a3_per_atom": 29.49, "dos_at_fermi_per_ev_cell": 4.5}


Tell me which of them is the least stable. Sure, it is 1.


1.
{"formula": "GdTm2Ag", "functional": "GGA-PBE", "state": "optimized geometry", "lattice_angstrom": [[3.5266, 0.0000, 0.0000], [0.0000, 3.5266, 0.0000], [0.0000, 0.0000, 8.8323]], "species": ["Gd", "Tm", "Tm", "Ag"], "fractional_positions": [[0.0000, 0.0000, 0.0000], [0.5000, 0.5000, 0.2897], [0.5000, 0.5000, 0.7103], [0.0000, 0.0000, 0.5000]], "total_magnetization_mub_per_fu": 7.7, "space_group": "P4/mmm", "vol_a3_per_atom": 27.46, "dos_at_fermi_per_ev_cell": 5.4}


2.
{"formula": "GdTm2Ag", "functional": "GGA-PBE", "state": "optimized geometry", "lattice_angstrom": [[1.6988, 0.9808, 11.3259], [-1.6988, 0.9808, 11.3259], [0.0000, -1.9616, 11.3259]], "species": ["Gd", "Tm", "Tm", "Ag"], "fractional_positions": [[0.0000, 0.0000, 0.0000], [0.0970, 0.0970, 0.0970], [0.9030, 0.9030, 0.9030], [0.5000, 0.5000, 0.5000]], "total_magnetization_mub_per_fu": 8.0, "space_group": "R-3m", "vol_a3_per_atom": 28.31, "dos_at_fermi_per_ev_cell": 5.0}


3.
{"formula": "GdTm2Ag", "functional": "GGA-PBE", "state": "optimized geometry", "lattice_angstrom": [[0.0000, 3.7559, 3.7559], [3.7559, 0.0000, 3.7559], [3.7559, 3.7559, 0.0000]], "species": ["Gd", "Tm", "Tm", "Ag"], "fractional_positions": [[0.0000, 0.0000, 0.0000], [0.2500, 0.2500, 0.2500], [0.7500, 0.7500, 0.7500], [0.5000, 0.5000, 0.5000]], "total_magnetization_mub_per_fu": 8.1, "space_group": "Fm-3m", "vol_a3_per_atom": 26.49, "dos_at_fermi_per_ev_cell": 6.7}


Tell me which of them is the least stable. Sure, it is 2.


1.
{"formula": "GdTmAg", "functional": "GGA-PBE", "state": "optimized geometry", "lattice_angstrom": [[-1.7972, 1.7972, 6.1820], [1.7972, -1.7972, 6.1820], [1.7972, 1.7972, -6.1820]], "species": ["Gd", "Tm", "Ag"], "fractional_positions": [[0.0000, 0.0000, 0.0000], [0.2995, 0.2995, 0.0000], [0.6608, 0.6608, 0.0000]], "total_magnetization_mub_per_fu": 8.2, "space_group": "I4mm", "vol_a3_per_atom": 26.62, "dos_at_fermi_per_ev_cell": 3.5}


2.
{"formula": "GdTmAg", "functional": "GGA-PBE", "state": "optimized geometry", "lattice_angstrom": [[5.0376, 0.0000, 0.0000], [-2.5188, 4.3627, 0.0000], [0.0000, 0.0000, 3.6468]], "species": ["Gd", "Tm", "Ag"], "fractional_positions": [[0.0000, 0.0000, 0.0000], [0.6667, 0.3333, 0.5403], [0.3333, 0.6667, 0.3254]], "total_magnetization_mub_per_fu": 7.2, "space_group": "P3m1", "vol_a3_per_atom": 26.72, "dos_at_fermi_per_ev_cell": 3.1}


Tell me which of them is the least stable. Sure, it is 2.


1.
{"formula": "GdY2Ag", "functional": "GGA-PBE", "state": "optimized geometry", "lattice_angstrom": [[5.4397, 0.0000, 0.0000], [0.0000, 5.4397, 0.0000], [0.0000, 0.0000, 3.7484]], "species": ["Gd", "Y", "Y", "Ag"], "fractional_positions": [[0.0000, 0.0000, 0.0000], [0.0000, 0.5000, 0.5000], [0.5000, 0.0000, 0.5000], [0.5000, 0.5000, 0.0000]], "total_magnetization_mub_per_fu": 7.5, "space_group": "P4/mmm", "vol_a3_per_atom": 27.73, "dos_at_fermi_per_ev_cell": 6.3}


2.
{"formula": "GdY2Ag", "functional": "GGA-PBE", "state": "optimized geometry", "lattice_angstrom": [[1.7257, 0.9963, 11.4530], [-1.7257, 0.9963, 11.4530], [0.0000, -1.9926, 11.4530]], "species": ["Gd", "Y", "Y", "Ag"], "fractional_positions": [[0.0000, 0.0000, 0.0000], [0.0969, 0.0969, 0.0969], [0.9031, 0.9031, 0.9031], [0.5000, 0.5000, 0.5000]], "total_magnetization_mub_per_fu": 8.1, "space_group": "R-3m", "vol_a3_per_atom": 29.54, "dos_at_fermi_per_ev_cell": 5.5}


3.
{"formula": "GdY2Ag", "functional": "GGA-PBE", "state": "optimized geometry", "lattice_angstrom": [[3.5972, 0.0000, 0.0000], [0.0000, 3.5972, 0.0000], [0.0000, 0.0000, 8.8394]], "species": ["Gd", "Y", "Y", "Ag"], "fractional_positions": [[0.0000, 0.0000, 0.0000], [0.5000, 0.5000, 0.2890], [0.5000, 0.5000, 0.7110], [0.0000, 0.0000, 0.5000]], "total_magnetization_mub_per_fu": 7.8, "space_group": "P4/mmm", "vol_a3_per_atom": 28.60, "dos_at_fermi_per_ev_cell": 6.2}


Tell me which of them is the least stable. Sure, it is 2.


1.
{"formula": "AgGe", "functional": "GGA-PBE", "state": "optimized geometry", "lattice_angstrom": [[7.2679, 0.0000, 0.0000], [0.0000, 7.2679, 0.0000], [0.0000, 0.0000, 7.2679]], "species": ["Ag", "Ag", "Ag", "Ag", "Ag", "Ag", "Ge", "Ge", "Ge", "Ge", "Ge", "Ge"], "fractional_positions": [[0.0000, 0.2500, 0.5000], [0.0000, 0.7500, 0.5000], [0.2500, 0.5000, 0.0000], [0.5000, 0.0000, 0.2500], [0.5000, 0.0000, 0.7500], [0.7500, 0.5000, 0.0000], [0.0000, 0.5000, 0.2500], [0.0000, 0.5000, 0.7500], [0.2500, 0.0000, 0.5000], [0.5000, 0.2500, 0.0000], [0.5000, 0.7500, 0.0000], [0.7500, 0.0000, 0.5000]], "total_magnetization_mub_per_fu": 0.0, "space_group": "Pm-3n", "vol_a3_per_atom": 31.99, "dos_at_fermi_per_ev_cell": 10.1}


2.
{"formula": "AgGe", "functional": "GGA-PBE", "state": "optimized geometry", "lattice_angstrom": [[5.3394, 0.0000, 0.0000], [0.0000, 5.3394, 0.0000], [0.0000, 0.0000, 5.6678]], "species": ["Ag", "Ag", "Ag", "Ag", "Ge", "Ge", "Ge", "Ge"], "fractional_positions": [[0.1890, 0.1890, 0.0000], [0.3110, 0.6890, 0.5000], [0.6890, 0.3110, 0.5000], [0.8110, 0.8110, 0.0000], [0.1834, 0.1834, 0.5000], [0.3166, 0.6834, 0.0000], [0.6834, 0.3166, 0.0000], [0.8166, 0.8166, 0.5000]], "total_magnetization_mub_per_fu": 0.0, "space_group": "P4_2/mnm", "vol_a3_per_atom": 20.20, "dos_at_fermi_per_ev_cell": 4.6}


Tell me which of them is the least stable. Sure, it is 1.


1.
{"formula": "AgGe", "functional": "GGA-PBE", "state": "optimized geometry", "lattice_angstrom": [[7.5650, 0.0000, 0.0000], [-3.7825, 6.5515, 0.0000], [0.0000, 0.0000, 4.7513]], "species": ["Ag", "Ag", "Ag", "Ag", "Ag", "Ag", "Ge", "Ge", "Ge", "Ge", "Ge", "Ge"], "fractional_positions": [[0.0566, 0.8053, 0.2500], [0.1947, 0.2513, 0.2500], [0.2513, 0.0566, 0.7500], [0.7487, 0.9434, 0.2500], [0.8053, 0.7487, 0.7500], [0.9434, 0.1947, 0.7500], [0.0951, 0.6127, 0.7500], [0.3873, 0.4824, 0.7500], [0.4824, 0.0951, 0.2500], [0.5176, 0.9049, 0.7500], [0.6127, 0.5176, 0.2500], [0.9049, 0.3873, 0.2500]], "total_magnetization_mub_per_fu": 0.0, "space_group": "P6_3/m", "vol_a3_per_atom": 19.62, "dos_at_fermi_per_ev_cell": 4.4}


2.
{"formula": "AgGe", "functional": "GGA-PBE", "state": "optimized geometry", "lattice_angstrom": [[0.0000, 4.0559, 8.0747], [3.6685, 0.0000, 8.0747], [3.6685, 4.0559, 0.0000]], "species": ["Ag", "Ag", "Ag", "Ag", "Ge", "Ge", "Ge", "Ge"], "fractional_positions": [[0.0267, 0.0267, 0.7233], [0.2767, 0.2767, 0.9733], [0.7233, 0.7233, 0.0267], [0.9733, 0.9733, 0.2767], [0.0298, 0.7202, 0.0298], [0.2798, 0.9702, 0.2798], [0.7202, 0.0298, 0.7202], [0.9702, 0.2798, 0.9702]], "total_magnetization_mub_per_fu": 0.0, "space_group": "Fddd", "vol_a3_per_atom": 30.04, "dos_at_fermi_per_ev_cell": 2.1}


Tell me which of them is the least stable. Sure, it is 2.


1.
{"formula": "AgGe", "functional": "GGA-PBE", "state": "optimized geometry", "lattice_angstrom": [[3.1727, 0.0000, 0.0000], [0.0000, 4.8276, 0.0000], [0.0000, 0.0000, 4.8384]], "species": ["Ag", "Ag", "Ge", "Ge"], "fractional_positions": [[0.2500, 0.2500, 0.0794], [0.7500, 0.7500, 0.9206], [0.2500, 0.7500, 0.4232], [0.7500, 0.2500, 0.5768]], "total_magnetization_mub_per_fu": 0.0, "space_group": "Pmmn", "vol_a3_per_atom": 18.53, "dos_at_fermi_per_ev_cell": 0.7}


2.
{"formula": "AgGe", "functional": "GGA-PBE", "state": "optimized geometry", "lattice_angstrom": [[3.7722, 0.0000, 0.0000], [0.0000, 5.6009, 2.9369], [0.0000, -5.6009, 2.9369]], "species": ["Ag", "Ag", "Ag", "Ge", "Ge", "Ge"], "fractional_positions": [[0.0000, 0.0000, 0.0000], [0.0000, 0.1789, 0.6600], [0.0000, 0.6600, 0.1789], [0.0000, 0.4413, 0.4413], [0.5000, 0.5858, 0.8255], [0.5000, 0.8255, 0.5858]], "total_magnetization_mub_per_fu": 0.0, "space_group": "Amm2", "vol_a3_per_atom": 20.68, "dos_at_fermi_per_ev_cell": 2.1}


3.
{"formula": "AgGe", "functional": "GGA-PBE", "state": "optimized geometry", "lattice_angstrom": [[0.0000, 2.9481, 2.9481], [2.9481, 0.0000, 2.9481], [2.9481, 2.9481, 0.0000]], "species": ["Ag", "Ge"], "fractional_positions": [[0.0000, 0.0000, 0.0000], [0.2500, 0.2500, 0.2500]], "total_magnetization_mub_per_fu": 0.0, "space_group": "F-43m", "vol_a3_per_atom": 25.62, "dos_at_fermi_per_ev_cell": 1.2}


Tell me which of them is the least stable. Sure, it is 3.


1.
{"formula": "AgGe", "functional": "GGA-PBE", "state": "optimized geometry", "lattice_angstrom": [[1.4402, -4.6434, 0.0000], [1.4402, 4.6434, 0.0000], [0.0000, 0.0000, 5.5801]], "species": ["Ag", "Ag", "Ge", "Ge"], "fractional_positions": [[0.2346, 0.7654, 0.7500], [0.7654, 0.2346, 0.2500], [0.5000, 0.5000, 0.0000], [0.5000, 0.5000, 0.5000]], "total_magnetization_mub_per_fu": 0.0, "space_group": "Cmcm", "vol_a3_per_atom": 18.66, "dos_at_fermi_per_ev_cell": 1.6}


2.
{"formula": "AgGe", "functional": "GGA-PBE", "state": "optimized geometry", "lattice_angstrom": [[2.6774, -1.5795, 0.0000], [2.6774, 1.5795, 0.0000], [-1.6734, 0.0000, 4.3638]], "species": ["Ag", "Ge"], "fractional_positions": [[0.0000, 0.0000, 0.0000], [0.5000, 0.5000, 0.5000]], "total_magnetization_mub_per_fu": 0.0, "space_group": "C2/m", "vol_a3_per_atom": 18.45, "dos_at_fermi_per_ev_cell": 0.4}


3.
{"formula": "AgGe", "functional": "GGA-PBE", "state": "optimized geometry", "lattice_angstrom": [[0.0000, 2.7341, 2.7341], [2.7341, 0.0000, 2.7341], [2.7341, 2.7341, 0.0000]], "species": ["Ag", "Ge"], "fractional_positions": [[0.0000, 0.0000, 0.0000], [0.5000, 0.5000, 0.5000]], "total_magnetization_mub_per_fu": 0.0, "space_group": "Fm-3m", "vol_a3_per_atom": 20.44, "dos_at_fermi_per_ev_cell": 1.4}


4.
{"formula": "AgGe", "functional": "GGA-PBE", "state": "optimized geometry", "lattice_angstrom": [[-3.9671, 3.9671, 3.9671], [3.9671, -3.9671, 3.9671], [3.9671, 3.9671, -3.9671]], "species": ["Ag", "Ag", "Ag", "Ag", "Ge", "Ge", "Ge", "Ge"], "fractional_positions": [[0.0000, 0.0000, 0.3908], [0.0000, 0.3908, 0.0000], [0.3908, 0.0000, 0.0000], [0.6092, 0.6092, 0.6092], [0.0000, 0.0000, 0.7540], [0.0000, 0.7540, 0.0000], [0.2460, 0.2460, 0.2460], [0.7540, 0.0000, 0.0000]], "total_magnetization_mub_per_fu": 0.0, "space_group": "I-43m", "vol_a3_per_atom": 31.22, "dos_at_fermi_per_ev_cell": 0.9}


Tell me which of them is the least stable. Sure, it is 4.


1.
{"formula": "AgGe3H", "functional": "GGA-PBE", "state": "optimized geometry", "lattice_angstrom": [[4.3211, 0.0000, 0.0000], [0.0000, 4.3211, 0.0000], [0.0000, 0.0000, 4.3211]], "species": ["Ag", "Ge", "Ge", "Ge", "H"], "fractional_positions": [[0.0000, 0.0000, 0.0000], [0.0000, 0.5000, 0.5000], [0.5000, 0.0000, 0.5000], [0.5000, 0.5000, 0.0000], [0.5000, 0.5000, 0.5000]], "total_magnetization_mub_per_fu": 0.0, "space_group": "Pm-3m", "vol_a3_per_atom": 16.14, "dos_at_fermi_per_ev_cell": 1.3}


2.
{"formula": "AgGe3H", "functional": "GGA-PBE", "state": "optimized geometry", "lattice_angstrom": [[5.0080, 0.0000, 0.0000], [0.0000, 5.0080, 0.0000], [0.0000, 0.0000, 5.0080]], "species": ["Ag", "Ge", "Ge", "Ge", "H"], "fractional_positions": [[0.0000, 0.0000, 0.0000], [0.0000, 0.0000, 0.5000], [0.0000, 0.5000, 0.0000], [0.5000, 0.0000, 0.0000], [0.5000, 0.5000, 0.5000]], "total_magnetization_mub_per_fu": 0.0, "space_group": "Pm-3m", "vol_a3_per_atom": 25.12, "dos_at_fermi_per_ev_cell": 3.3}


Tell me which of them is the least stable. Sure, it is 2.